Entry 1:
Below is an optimized crystal structure of HfTaZnCo, with properties calculated at the GGA-PBE level.

Results
For the offset from the most stable computed form, the calculation gives 0.0000 eV per atom.

Lattice parameters (Å, degrees): 6.359 6.359 6.359 90.00 90.00 90.00
Space group F-43m (No. 216)
Unique sites:
Hf 0.000 0.000 0.000 x4
Ta 0.250 0.250 0.750 x4
Zn 0.250 0.250 0.250 x4
Co 0.000 0.000 0.500 x4


Entry 2:
Below is an optimized crystal structure of HfCoTc, with properties calculated at the GGA-PBE level.

Results
For the offset from the most stable computed form, the calculation gives 0.6222 eV per atom.

Lattice parameters (Å, degrees): 5.978 5.978 5.978 90.00 90.00 90.00
Space group F-43m (No. 216)
Unique sites:
Hf 0.000 0.000 0.000 x4
Co 0.250 0.250 0.750 x4
Tc 0.250 0.250 0.250 x4


Entry 3:
Below is an optimized crystal structure of HfCoTc, with properties calculated at the GGA-PBE level.

Results
For the offset from the most stable computed form, the calculation gives 0.0000 eV per atom.

Lattice parameters (Å, degrees): 5.873 5.873 5.873 90.00 90.00 90.00
Space group F-43m (No. 216)
Unique sites:
Hf 0.000 0.000 0.000 x4
Co 0.250 0.250 0.250 x4
Tc 0.000 0.000 0.500 x4


Entry 4:
Below is an optimized crystal structure of HfCo2Tc, with properties calculated at the GGA-PBE level.

Results
For the offset from the most stable computed form, the calculation gives 0.0000 eV per atom.

Lattice parameters (Å, degrees): 6.120 6.120 6.120 90.00 90.00 90.00
Space group F-43m (No. 216)
Unique sites:
Hf 0.000 0.000 0.000 x4
Co 0.000 0.000 0.500 x4
Co 0.250 0.250 0.250 x4
Tc 0.250 0.250 0.750 x4


Entry 5:
Below is an optimized crystal structure of HfCoTc2, with properties calculated at the GGA-PBE level.

Results
As for the total DFT energy (no corrections): -152.71 eV per cell.

Lattice parameters (Å, degrees): 6.238 6.238 6.238 90.00 90.00 90.00
Space group F-43m (No. 216)
Unique sites:
Hf 0.000 0.000 0.000 x4
Co 0.250 0.250 0.750 x4
Tc 0.000 0.000 0.500 x4
Tc 0.250 0.250 0.250 x4


Entry 6:
Below is an optimized crystal structure of HfTlCoTc, with properties calculated at the GGA-PBE level.

Results
For the offset from the most stable computed form, the calculation gives 0.2829 eV per atom.

Lattice parameters (Å, degrees): 6.533 6.533 6.533 90.00 90.00 90.00
Space group F-43m (No. 216)
Unique sites:
Hf 0.000 0.000 0.000 x4
Tl 0.250 0.250 0.250 x4
Co 0.000 0.000 0.500 x4
Tc 0.250 0.250 0.750 x4


Entry 7:
Below is an optimized crystal structure of HfTlCoTc, with properties calculated at the GGA-PBE level.

Results
For the offset from the most stable computed form, the calculation gives 0.0000 eV per atom.

Lattice parameters (Å, degrees): 6.443 6.443 6.443 90.00 90.00 90.00
Space group F-43m (No. 216)
Unique sites:
Hf 0.000 0.000 0.000 x4
Tl 0.000 0.000 0.500 x4
Co 0.250 0.250 0.750 x4
Tc 0.250 0.250 0.250 x4


Entry 8:
Below is an optimized crystal structure of HfZnCoTc, with properties calculated at the GGA-PBE level.

Results
For the offset from the most stable computed form, the calculation gives 0.0000 eV per atom.

Lattice parameters (Å, degrees): 6.184 6.184 6.184 90.00 90.00 90.00
Space group F-43m (No. 216)
Unique sites:
Hf 0.000 0.000 0.000 x4
Zn 0.000 0.000 0.500 x4
Co 0.250 0.250 0.750 x4
Tc 0.250 0.250 0.250 x4


Entry 9:
Below is an optimized crystal structure of HfZnCoTc, with properties calculated at the GGA-PBE level.

Results
For the offset from the most stable computed form, the calculation gives 0.1658 eV per atom.

Lattice parameters (Å, degrees): 6.248 6.248 6.248 90.00 90.00 90.00
Space group F-43m (No. 216)
Unique sites:
Hf 0.000 0.000 0.000 x4
Zn 0.250 0.250 0.250 x4
Co 0.000 0.000 0.500 x4
Tc 0.250 0.250 0.750 x4


Entry 10:
Below is an optimized crystal structure of HfCo2Te2, with properties calculated at the GGA-PBE level.

Results
As for the total DFT energy (no corrections): -60.08 eV per cell.

Lattice parameters (Å, degrees): 3.712 3.712 13.258 90.00 90.00 90.00
Space group I4/mmm (No. 139)
Unique sites:
Hf 0.000 0.000 0.000 x2
Co 0.000 0.500 0.250 x4
Te 0.000 0.000 0.378 x4


Entry 11:
Below is an optimized crystal structure of HfCoTe2, with properties calculated at the GGA-PBE level.

Results
As for the total DFT energy (no corrections): -86.79 eV per cell.

Lattice parameters (Å, degrees): 6.946 6.946 6.946 90.00 90.00 90.00
Space group F-43m (No. 216)
Unique sites:
Hf 0.000 0.000 0.000 x4
Co 0.250 0.250 0.250 x4
Te 0.000 0.000 0.500 x4
Te 0.250 0.250 0.750 x4


Entry 12:
Below is an optimized crystal structure of Hf5Co2Te2, with properties calculated at the GGA-PBE level.

Results
As for the total DFT energy (no corrections): -300.44 eV per cell.

Lattice parameters (Å, degrees): 3.705 14.120 13.845 90.00 90.00 90.00
Space group Cmcm (No. 63)
Unique sites:
Hf 0.000 0.036 0.132 x8
Hf 0.000 0.262 0.634 x8
Hf 0.000 0.388 0.250 x4
Co 0.000 0.197 0.250 x4
Co 0.000 0.428 0.750 x4
Te 0.000 0.384 0.038 x8